# Zr4GaPd (PBE, optimized geometry)
data_Zr4GaPd
_chemical_formula_sum 'Zr8 Ga2 Pd2'
_cell_length_a 7.379
_cell_length_b 7.379
_cell_length_c 7.379
_cell_angle_alpha 126.24
_cell_angle_beta 126.24
_cell_angle_gamma 79.49
_space_group_name_H-M_alt 'P 1'
_space_group_IT_number 1
loop_
_space_group_symop_operation_xyz
'x,y,z'
loop_
_atom_site_label
_atom_site_type_symbol
_atom_site_fract_x
_atom_site_fract_y
_atom_site_fract_z
Zr1 Zr 0.016 0.516 0.814
Zr2 Zr 0.202 0.016 0.500
Zr3 Zr 0.298 0.798 0.814
Zr4 Zr 0.484 0.298 0.500
Zr5 Zr 0.516 0.702 0.500
Zr6 Zr 0.702 0.202 0.186
Zr7 Zr 0.798 0.984 0.500
Zr8 Zr 0.984 0.484 0.186
Ga1 Ga 0.250 0.250 0.000
Ga2 Ga 0.750 0.750 0.000
Pd1 Pd 0.000 0.000 0.000
Pd2 Pd 0.500 0.500 0.000
# - magnetic moment (μB/f.u.) = 0.00
# - N(E_F) (states/eV/f.u.) = 5.451
# - ΔE to the lowest computed polymorph (eV per atom) = 0.118